[1]
Ba3Re: relaxed, PBE.

Computed properties:
energy relative to the lowest polymorph listed for this composition: 430 meV/atom
energy of formation: 842 meV per atom
V: 360.6 Å³ per cell

Unit cell a=4.1104 b=11.8295 c=7.4150 alpha=90.00 beta=90.00 gamma=90.00
Space group Imm2 (No. 44)
Symmetry-distinct sites (fractional):
Ba 0.0000 0.0000 0.0000 x2
Ba 0.0000 0.1691 0.5254 x4
Re 0.0000 0.5000 0.1900 x2



[2]
Ce2ZnGa4Ir3: relaxed, PBE.

Computed properties:
energy of formation: -613 meV per atom
V: 187.0 Å³ per cell

Unit cell a=4.1075 b=4.1075 c=11.0826 alpha=90.00 beta=90.00 gamma=90.00
Space group P-4m2 (No. 115)
Symmetry-distinct sites (fractional):
Ce 0.0000 0.5000 0.2382 x2
Zn 0.0000 0.0000 0.5000 x1
Ga 0.0000 0.0000 0.0000 x1
Ga 0.0000 0.5000 0.6341 x2
Ga 0.5000 0.5000 0.0000 x1
Ir 0.0000 0.5000 0.8595 x2
Ir 0.5000 0.5000 0.5000 x1



[3]
Ac4PmSm6: relaxed, PBE.

Computed properties:
energy of formation: 261 meV per atom
V: 859.6 Å³ per cell

Unit cell a=7.2107 b=7.2107 c=16.5320 alpha=90.00 beta=90.00 gamma=90.00
Space group I-42m (No. 121)
Symmetry-distinct sites (fractional):
Ac 0.1955 0.1955 0.3198 x8
Pm 0.0000 0.0000 0.5000 x2
Sm 0.0000 0.5000 0.0000 x4
Sm 0.1663 0.1663 0.1003 x8



[4]
AcH4F6: relaxed, PBE.

Computed properties:
energy: -4.68 eV/atom
V: 316.5 Å³ per cell

Unit cell a=4.7972 b=7.5236 c=8.7702 alpha=90.00 beta=90.00 gamma=90.00
Space group I222 (No. 23)
Symmetry-distinct sites (fractional):
Ac 0.0000 0.0000 0.0000 x2
H 0.1917 0.1176 0.5868 x8
F 0.0000 0.0000 0.5000 x2
F 0.0000 0.5000 0.5000 x2
F 0.1726 0.2972 0.1323 x8